1.
This record from Alexandria via LeMat-Bulk describes an optimized crystal structure of SrTe2Rh. The functional is GGA-PBEsol.

a = 6.5821 Å, b = 6.5821 Å, c = 6.5821 Å
α = 105.08°, β = 105.08°, γ = 118.66°
Element x y z (fractional)
Rh1 0.0000 0.0000 0.0000
Rh2 0.2500 0.7500 0.5000
Te1 0.6250 0.0451 0.9201
Te2 0.9549 0.8750 0.5799
Te3 0.2951 0.3750 0.4201
Te4 0.1250 0.7049 0.0799
Sr1 0.7500 0.2500 0.5000
Sr2 0.5000 0.5000 0.0000

As for the crystal system: tetragonal. The distance to the lowest polymorph of the same formula is 0.0 meV/atom. The total energy is -5.032 eV per atom. The raw formation energy comes out at -0.77 eV/atom. Its symmetry is I-42d (122).

2.
This record from Alexandria via LeMat-Bulk describes an optimized crystal structure of Si2PBr. The functional is GGA-PBEsol.

a = 3.6021 Å, b = 4.1803 Å, c = 6.0864 Å
α = 108.88°, β = 90.00°, γ = 90.00°
Element x y z (fractional)
P1 0.5000 0.6545 0.8672
Br1 0.0000 0.9240 0.4265
Si1 0.0000 0.0021 0.0547
Si2 0.5000 0.4194 0.1516

As for the crystal system: monoclinic. The distance to the lowest polymorph of the same formula is 0.0 meV/atom. The total energy is -4.730 eV per atom. The raw formation energy comes out at 0.06 eV/atom. Its symmetry is Pm (6).

3.
This record from Alexandria via LeMat-Bulk describes an optimized crystal structure of TiNiB2Sb. The functional is GGA-PBEsol.

a = 4.2659 Å, b = 4.2659 Å, c = 5.1074 Å
α = 90.00°, β = 90.00°, γ = 90.00°
Element x y z (fractional)
B1 0.0000 0.5000 0.0000
B2 0.5000 0.0000 0.0000
Ni1 0.5000 0.5000 0.5000
Sb1 0.0000 0.0000 0.0000
Ti1 0.0000 0.0000 0.5000

As for the crystal system: tetragonal. The total energy is -4.497 eV per atom. The raw formation energy comes out at 2.12 eV/atom. Its symmetry is P4/mmm (123).

4.
This record from Alexandria via LeMat-Bulk describes an optimized crystal structure of Y2ZrCl. The functional is GGA-PBEsol.

a = 3.3192 Å, b = 3.3192 Å, c = 8.8278 Å
α = 90.00°, β = 90.00°, γ = 90.00°
Element x y z (fractional)
Y1 0.0000 0.0000 0.2564
Y2 0.0000 0.0000 0.7436
Zr1 0.5000 0.5000 0.0000
Cl1 0.5000 0.5000 0.5000

As for the crystal system: tetragonal. The total energy is -6.742 eV per atom. The raw formation energy comes out at -0.56 eV/atom. Its symmetry is P4/mmm (123).

5.
This record from Alexandria via LeMat-Bulk describes an optimized crystal structure of TcW2Cl. The functional is GGA-PBEsol.

a = 2.8952 Å, b = 2.8952 Å, c = 6.9101 Å
α = 90.00°, β = 90.00°, γ = 90.00°
Element x y z (fractional)
Tc1 0.5000 0.5000 0.5000
Cl1 0.5000 0.5000 0.0000
W1 0.0000 0.0000 0.2484
W2 0.0000 0.0000 0.7516

As for the crystal system: tetragonal. The distance to the lowest polymorph of the same formula is 0.0 meV/atom. The total energy is -9.821 eV per atom. The raw formation energy comes out at 0.40 eV/atom. Its symmetry is P4/mmm (123).

6.
This record from Alexandria via LeMat-Bulk describes an optimized crystal structure of SrMgAl2. The functional is GGA-PBEsol.

a = 3.3956 Å, b = 3.3956 Å, c = 10.0945 Å
α = 80.32°, β = 80.32°, γ = 60.00°
Element x y z (fractional)
Mg1 0.5000 0.5000 0.5000
Sr1 0.0000 0.0000 0.0000
Al1 0.2425 0.2425 0.2725
Al2 0.7575 0.7575 0.7275

As for the crystal system: trigonal. The calculated formation energy comes out at 0.24 eV per atom. The total energy is -2.695 eV per atom. Its symmetry is R-3m (166).

7.
This record from Alexandria via LeMat-Bulk describes an optimized crystal structure of Ga2B3O8. The functional is GGA-PBEsol.

a = 6.4289 Å, b = 6.4289 Å, c = 10.6328 Å
α = 90.00°, β = 90.00°, γ = 108.77°
Each line ends with the local moment (μB).
Element x y z (fractional)
B1 0.7744 0.5250 0.3685  -0.01
B2 0.5250 0.7744 0.3685  -0.01
B3 0.0250 0.2744 0.1315  -0.01
B4 0.2256 0.4750 0.6315  -0.01
B5 0.7256 0.9750 0.8685  -0.01
B6 0.8521 0.3521 0.7500  0.00
B7 0.6479 0.1479 0.2500  0.00
B8 0.1479 0.6479 0.2500  0.00
B9 0.2744 0.0250 0.1315  -0.01
B10 0.4750 0.2256 0.6315  -0.01
B11 0.9750 0.7256 0.8685  -0.01
B12 0.3521 0.8521 0.7500  0.00
O1 0.4191 0.1475 0.2344  0.03
O2 0.0532 0.0532 0.1441  0.05
O3 0.8525 0.5809 0.7656  0.03
O4 0.4615 0.4615 0.8872  0.37
O5 0.5532 0.5532 0.3559  0.05
O6 0.7149 0.2576 0.6385  0.02
O7 0.7851 0.2424 0.1385  0.02
O8 0.2149 0.7576 0.8615  0.02
O9 0.3671 0.1090 0.0100  0.19
O10 0.5385 0.5385 0.1128  0.37
O11 0.2576 0.7149 0.6385  0.02
O12 0.7424 0.2851 0.3615  0.02
O13 0.8910 0.6329 0.9900  0.19
O14 0.7576 0.2149 0.8615  0.02
O15 0.1475 0.4191 0.2344  0.03
O16 0.6475 0.9191 0.2656  0.03
O17 0.1329 0.3910 0.5100  0.19
O18 0.3910 0.1329 0.5100  0.19
O19 0.9615 0.9615 0.6128  0.37
O20 0.2424 0.7851 0.1385  0.02
O21 0.1090 0.3671 0.0100  0.19
O22 0.9468 0.9468 0.8559  0.05
O23 0.3525 0.0809 0.7344  0.03
O24 0.5809 0.8525 0.7656  0.03
O25 0.0809 0.3525 0.7344  0.03
O26 0.6329 0.8910 0.9900  0.19
O27 0.4468 0.4468 0.6441  0.05
O28 0.8671 0.6090 0.4900  0.19
O29 0.9191 0.6475 0.2656  0.03
O30 0.0385 0.0385 0.3872  0.37
O31 0.6090 0.8671 0.4900  0.19
O32 0.2851 0.7424 0.3615  0.02
Ga1 0.6473 0.3527 0.0000  -0.01
Ga2 0.3527 0.6473 0.0000  -0.01
Ga3 0.2069 0.2069 0.8674  -0.01
Ga4 0.7931 0.7931 0.1326  -0.01
Ga5 0.7069 0.7069 0.6326  -0.01
Ga6 0.2931 0.2931 0.3674  -0.01
Ga7 0.8527 0.1473 0.5000  -0.01
Ga8 0.1473 0.8527 0.5000  -0.01

As for the crystal system: orthorhombic. The total energy is -7.438 eV per atom. The raw formation energy comes out at -2.07 eV/atom. Its symmetry is Cmce (64).

8.
This record from Alexandria via LeMat-Bulk describes an optimized crystal structure of SrMg2Ag. The functional is GGA-PBEsol.

a = 3.5059 Å, b = 5.4658 Å, c = 6.3227 Å
α = 115.61°, β = 106.10°, γ = 90.00°
Element x y z (fractional)
Mg1 0.7081 0.7081 0.4161
Mg2 0.2919 0.2919 0.5839
Ag1 0.0000 0.5000 0.0000
Sr1 0.5000 0.0000 0.0000

As for the crystal system: orthorhombic. The calculated formation energy comes out at -0.08 eV per atom. The total energy is -2.227 eV per atom. Its symmetry is Immm (71).

9.
This record from Alexandria via LeMat-Bulk describes an optimized crystal structure of CaCdPd. The functional is GGA-PBEsol.

a = 4.2794 Å, b = 7.1673 Å, c = 8.4540 Å
α = 90.00°, β = 90.00°, γ = 90.00°
Element x y z (fractional)
Ca1 0.2500 0.5341 0.1791
Ca2 0.7500 0.4659 0.8209
Ca3 0.2500 0.0341 0.3209
Ca4 0.7500 0.9659 0.6791
Cd1 0.2500 0.6429 0.5619
Cd2 0.2500 0.1429 0.9381
Cd3 0.7500 0.3571 0.4381
Cd4 0.7500 0.8571 0.0619
Pd1 0.7500 0.2398 0.1294
Pd2 0.2500 0.7602 0.8706
Pd3 0.7500 0.7398 0.3706
Pd4 0.2500 0.2602 0.6294

As for the crystal system: orthorhombic. The calculated formation energy comes out at -0.58 eV per atom. The total energy is -3.680 eV per atom. Its symmetry is Pnma (62).

10.
This record from Alexandria via LeMat-Bulk describes an optimized crystal structure of Zr3N2O3. The functional is GGA-PBEsol.

a = 3.9541 Å, b = 5.7022 Å, c = 10.7270 Å
α = 90.00°, β = 90.00°, γ = 110.29°
Element x y z (fractional)
Zr1 0.1375 0.2751 0.0550
Zr2 0.1851 0.3703 0.7490
Zr3 0.1353 0.2707 0.4396
Zr4 0.8149 0.6297 0.2490
Zr5 0.8625 0.7249 0.5550
Zr6 0.8647 0.7293 0.9396
O1 0.7557 0.5113 0.7594
O2 0.2443 0.4887 0.2594
O3 0.6916 0.3832 0.4187
O4 0.3084 0.6168 0.9187
O5 0.0431 0.0861 0.6175
O6 0.9569 0.9139 0.1175
N1 0.0483 0.0965 0.8862
N2 0.7078 0.4155 0.0748
N3 0.9517 0.9035 0.3862
N4 0.2922 0.5845 0.5748

As for the crystal system: orthorhombic. The distance to the lowest polymorph of the same formula is 66.4 meV/atom. The total energy is -10.155 eV per atom. The raw formation energy comes out at -2.65 eV/atom. Its symmetry is Cmc2_1 (36).

11.
This record from Alexandria via LeMat-Bulk describes an optimized crystal structure of AlFe2Co. The functional is GGA-PBEsol.

a = 2.8124 Å, b = 2.8124 Å, c = 5.5882 Å
α = 90.00°, β = 90.00°, γ = 90.00°
Each line ends with the local moment (μB).
Element x y z (fractional)
Al1 0.0000 0.0000 0.5009  -0.03
Fe1 0.0000 0.0000 0.0043  2.46
Fe2 0.5000 0.5000 0.2357  0.96
Co1 0.5000 0.5000 0.7590  1.00

As for the crystal system: tetragonal. The calculated formation energy comes out at -0.21 eV per atom. The total energy is -7.653 eV per atom. Its symmetry is P4mm (99).

12.
This record from Alexandria via LeMat-Bulk describes an optimized crystal structure of BaCuRe. The functional is GGA-PBEsol.

a = 4.8174 Å, b = 4.8174 Å, c = 4.8174 Å
α = 60.00°, β = 60.00°, γ = 60.00°
Each line ends with the local moment (μB).
Element x y z (fractional)
Ba1 0.2500 0.2500 0.2500  0.05
Cu1 0.0000 0.0000 0.0000  0.01
Re1 0.5000 0.5000 0.5000  2.18

As for the crystal system: cubic. The distance to the lowest polymorph of the same formula is 1422.7 meV/atom. The calculated formation energy comes out at 2.32 eV per atom. The total energy is -4.285 eV per atom. Its symmetry is F-43m (216).

Repeat the eighth record exactly.
This record from Alexandria via LeMat-Bulk describes an optimized crystal structure of SrMg2Ag. The functional is GGA-PBEsol.

a = 3.5059 Å, b = 5.4658 Å, c = 6.3227 Å
α = 115.61°, β = 106.10°, γ = 90.00°
Element x y z (fractional)
Mg1 0.7081 0.7081 0.4161
Mg2 0.2919 0.2919 0.5839
Ag1 0.0000 0.5000 0.0000
Sr1 0.5000 0.0000 0.0000

As for the crystal system: orthorhombic. The calculated formation energy comes out at -0.08 eV per atom. The total energy is -2.227 eV per atom. Its symmetry is Immm (71).

Question: What is the formula in the second record?
Answer: Si2PBr

Copy entry 3 word for word.
This record from Alexandria via LeMat-Bulk describes an optimized crystal structure of TiNiB2Sb. The functional is GGA-PBEsol.

a = 4.2659 Å, b = 4.2659 Å, c = 5.1074 Å
α = 90.00°, β = 90.00°, γ = 90.00°
Element x y z (fractional)
B1 0.0000 0.5000 0.0000
B2 0.5000 0.0000 0.0000
Ni1 0.5000 0.5000 0.5000
Sb1 0.0000 0.0000 0.0000
Ti1 0.0000 0.0000 0.5000

As for the crystal system: tetragonal. The total energy is -4.497 eV per atom. The raw formation energy comes out at 2.12 eV/atom. Its symmetry is P4/mmm (123).

Question: What is the formula in the eighth record?
Answer: SrMg2Ag